# 1
TaTi2Zn5Cu2: optimized geometry, PBE-GGA.

Output
For the magnetization, the calculation gives 0.000 μB/atom. As for the space-group type: P4/mbm (127). The formation energy comes out at -67.3 kJ/mol of formula units. The calculation puts the calculated total energy at -42.90 eV/f.u.

Cell: 8.510 8.510 4.093 Å, 90.00 90.00 90.00°
Fractional coordinates of all 20 atoms:
Ta  0.000  0.000  0.000
Ta  0.500  0.500  0.000
Ti  0.181  0.319  0.000
Ti  0.319  0.819  0.000
Ti  0.681  0.181  0.000
Ti  0.819  0.681  0.000
Zn  0.000  0.500  0.500
Zn  0.063  0.792  0.500
Zn  0.208  0.063  0.500
Zn  0.292  0.563  0.500
Zn  0.437  0.292  0.500
Zn  0.500  0.000  0.500
Zn  0.563  0.708  0.500
Zn  0.708  0.437  0.500
Zn  0.792  0.937  0.500
Zn  0.937  0.208  0.500
Cu  0.116  0.616  0.000
Cu  0.384  0.116  0.000
Cu  0.616  0.884  0.000
Cu  0.884  0.384  0.000

***

# 2
La3RhPb2: optimized geometry, PBE-GGA.

Output
For the magnetization, the calculation gives 0.000 μB/atom. As for the space-group type: C2/c (15). The energy relative to the lowest polymorph listed for this composition comes out at 88 meV/atom. The formation energy comes out at -341.7 kJ/mol of formula units. The calculation puts the calculated total energy at -33.09 eV/f.u.

Cell: 7.498 7.498 8.951 Å, 105.90 105.90 50.97°
Fractional coordinates of all 12 atoms:
La  0.174  0.826  0.750
La  0.216  0.466  0.362
La  0.466  0.216  0.862
La  0.534  0.784  0.138
La  0.784  0.534  0.638
La  0.826  0.174  0.250
Rh  0.374  0.626  0.250
Rh  0.626  0.374  0.750
Pb  0.011  0.282  0.004
Pb  0.282  0.011  0.504
Pb  0.718  0.989  0.496
Pb  0.989  0.718  0.996

***

# 3
TlH2N: optimized geometry, PBE-GGA.

Output
For the magnetization, the calculation gives 0.000 μB/atom. As for the space-group type: I4_1/amd (141). The energy relative to the lowest polymorph listed for this composition comes out at 619 meV/atom. The calculation puts the calculated total energy at -15.16 eV/f.u.

Cell: 4.778 4.778 4.778 Å, 119.96 119.96 90.06°
Fractional coordinates of all 8 atoms:
Tl  0.375  0.625  0.750
Tl  0.625  0.375  0.250
H  0.000  0.000  0.000
H  0.000  0.000  0.500
H  0.000  0.500  0.000
H  0.500  0.000  0.500
N  0.125  0.875  0.250
N  0.875  0.125  0.750

***

# 4
Na3Sr12O5: optimized geometry, PBE-GGA.

Output
For the magnetization, the calculation gives 0.000 μB/atom. The value obtained for the energy relative to the elements, uncorrected is -1.161 eV/atom. As for the space-group type: Ia-3d (230). The calculation puts the calculated total energy at -72.14 eV/f.u.

Cell: 15.222 15.222 15.222 Å, 109.47 109.47 109.47°
Fractional coordinates of all 80 atoms:
Na  0.125  0.250  0.375
Na  0.125  0.375  0.750
Na  0.250  0.375  0.125
Na  0.250  0.875  0.625
Na  0.375  0.125  0.250
Na  0.375  0.750  0.125
Na  0.625  0.250  0.875
Na  0.625  0.875  0.750
Na  0.750  0.125  0.375
Na  0.750  0.625  0.875
Na  0.875  0.625  0.250
Na  0.875  0.750  0.625
Sr  0.004  0.690  0.109
Sr  0.004  0.813  0.895
Sr  0.082  0.687  0.690
Sr  0.082  0.895  0.391
Sr  0.105  0.609  0.918
Sr  0.105  0.996  0.187
Sr  0.109  0.004  0.690
Sr  0.109  0.605  0.418
Sr  0.187  0.105  0.996
Sr  0.187  0.582  0.190
Sr  0.190  0.187  0.582
Sr  0.190  0.504  0.609
Sr  0.310  0.891  0.996
Sr  0.310  0.918  0.313
Sr  0.313  0.310  0.918
Sr  0.313  0.504  0.395
Sr  0.391  0.082  0.895
Sr  0.391  0.810  0.496
Sr  0.395  0.313  0.504
Sr  0.395  0.582  0.891
Sr  0.418  0.109  0.605
Sr  0.418  0.810  0.813
Sr  0.496  0.391  0.810
Sr  0.496  0.605  0.687
Sr  0.504  0.395  0.313
Sr  0.504  0.609  0.190
Sr  0.582  0.190  0.187
Sr  0.582  0.891  0.395
Sr  0.605  0.418  0.109
Sr  0.605  0.687  0.496
Sr  0.609  0.190  0.504
Sr  0.609  0.918  0.105
Sr  0.687  0.496  0.605
Sr  0.687  0.690  0.082
Sr  0.690  0.082  0.687
Sr  0.690  0.109  0.004
Sr  0.810  0.496  0.391
Sr  0.810  0.813  0.418
Sr  0.813  0.418  0.810
Sr  0.813  0.895  0.004
Sr  0.891  0.395  0.582
Sr  0.891  0.996  0.310
Sr  0.895  0.004  0.813
Sr  0.895  0.391  0.082
Sr  0.918  0.105  0.609
Sr  0.918  0.313  0.310
Sr  0.996  0.187  0.105
Sr  0.996  0.310  0.891
O  0.000  0.000  0.000
O  0.000  0.000  0.500
O  0.000  0.500  0.000
O  0.000  0.500  0.500
O  0.125  0.750  0.875
O  0.125  0.875  0.250
O  0.250  0.125  0.875
O  0.250  0.625  0.375
O  0.375  0.250  0.625
O  0.375  0.625  0.750
O  0.500  0.000  0.000
O  0.500  0.000  0.500
O  0.500  0.500  0.000
O  0.500  0.500  0.500
O  0.625  0.375  0.250
O  0.625  0.750  0.375
O  0.750  0.375  0.625
O  0.750  0.875  0.125
O  0.875  0.125  0.750
O  0.875  0.250  0.125

***

# 5
ZrHgPb2: optimized geometry, PBE-GGA.

Output
For the magnetization, the calculation gives 0.000 μB/atom. As for the space-group type: Cmmm (65). The formation energy comes out at -0.5 kJ/mol of formula units. The calculation puts the calculated total energy at -16.27 eV/f.u.

Cell: 5.621 5.621 3.322 Å, 90.00 90.00 103.64°
Fractional coordinates of all 4 atoms:
Zr  0.000  0.000  0.000
Hg  0.500  0.500  0.000
Pb  0.000  0.500  0.500
Pb  0.500  0.000  0.500

***

# 6
SrPrEr2: optimized geometry, PBE-GGA.

Output
For the magnetization, the calculation gives 0.001 μB/atom. As for the space-group type: P4/mmm (123). The energy relative to the lowest polymorph listed for this composition comes out at 9 meV/atom. The formation energy comes out at 53.9 kJ/mol of formula units. The calculation puts the calculated total energy at -15.03 eV/f.u.

Cell: 3.720 3.720 10.582 Å, 90.00 90.00 90.00°
Fractional coordinates of all 4 atoms:
Sr  0.000  0.000  0.000
Pr  0.000  0.000  0.500
Er  0.500  0.500  0.276
Er  0.500  0.500  0.724

***

# 7
MnReTc2: optimized geometry, PBE-GGA.

Output
For the magnetization, the calculation gives 0.348 μB/atom. As for the space-group type: Cmmm (65). The formation energy comes out at 40.5 kJ/mol of formula units. The calculation puts the calculated total energy at -41.93 eV/f.u.

Cell: 4.688 4.688 2.722 Å, 90.00 90.00 108.98°
Fractional coordinates of all 4 atoms:
Mn  0.000  0.000  0.000
Re  0.500  0.500  0.000
Tc  0.000  0.500  0.500
Tc  0.500  0.000  0.500

***

# 8
BaLi2TcF8: optimized geometry, PBE-GGA.

Output
For the magnetization, the calculation gives 0.250 μB/atom. The value obtained for the energy relative to the elements, uncorrected is -2.821 eV/atom. As for the space-group type: R-3 (148). The calculation puts the calculated total energy at -64.94 eV/f.u.

Cell: 8.174 8.174 8.174 Å, 35.61 35.61 35.61°
Fractional coordinates of all 12 atoms:
Ba  0.000  0.000  0.000
Li  0.242  0.242  0.242
Li  0.758  0.758  0.758
Tc  0.500  0.500  0.500
F  0.145  0.773  0.428
F  0.227  0.572  0.855
F  0.320  0.320  0.320
F  0.428  0.145  0.773
F  0.572  0.855  0.227
F  0.680  0.680  0.680
F  0.773  0.428  0.145
F  0.855  0.227  0.572

***

# 9
Sm6Y5Ho: optimized geometry, PBE-GGA.

Output
For the magnetization, the calculation gives 0.000 μB/atom. As for the space-group type: C2/m (12). The formation energy comes out at 15.5 kJ/mol of formula units. The calculation puts the calculated total energy at -65.05 eV/f.u.

Cell: 6.236 6.236 11.850 Å, 95.01 95.01 119.98°
Fractional coordinates of all 12 atoms:
Sm  0.083  0.415  0.250
Sm  0.250  0.250  0.750
Sm  0.415  0.083  0.250
Sm  0.585  0.917  0.750
Sm  0.750  0.750  0.250
Sm  0.917  0.585  0.750
Y  0.167  0.833  0.500
Y  0.333  0.667  0.000
Y  0.500  0.500  0.500
Y  0.667  0.333  0.000
Y  0.833  0.167  0.500
Ho  0.000  0.000  0.000

***

# 10
NiSb2Te: optimized geometry, PBE-GGA.

Output
For the magnetization, the calculation gives 0.000 μB/atom. The value obtained for the energy relative to the elements, uncorrected is 0.245 eV/atom. As for the space-group type: I4/mmm (139). The calculation puts the calculated total energy at -16.19 eV/f.u.

Cell: 5.056 5.056 5.056 Å, 108.97 108.97 110.48°
Fractional coordinates of all 4 atoms:
Ni  0.000  0.000  0.000
Sb  0.000  0.500  0.500
Sb  0.500  0.000  0.500
Te  0.500  0.500  0.000

***

# 11
YTl2Si: optimized geometry, PBE-GGA.

Output
For the magnetization, the calculation gives 0.000 μB/atom. The value obtained for the energy relative to the elements, uncorrected is -0.069 eV/atom. As for the space-group type: Imm2 (44). The energy relative to the lowest polymorph listed for this composition comes out at 54 meV/atom. The calculation puts the calculated total energy at -16.89 eV/f.u.

Cell: 5.861 5.861 5.861 Å, 137.54 132.81 65.33°
Fractional coordinates of all 4 atoms:
Y  0.000  0.000  0.000
Tl  0.449  0.449  0.000
Tl  0.725  0.225  0.500
Si  0.230  0.730  0.500

***

# 12
LiBe3Cu10: optimized geometry, PBE-GGA.

Output
For the magnetization, the calculation gives 0.000 μB/atom. As for the space-group type: Fm-3m (225). The formation energy comes out at 77.2 kJ/mol of formula units. The calculation puts the calculated total energy at -53.25 eV/f.u.

Cell: 7.787 7.787 7.787 Å, 60.00 60.00 60.00°
Fractional coordinates of all 28 atoms:
Li  0.250  0.250  0.250
Li  0.750  0.750  0.750
Be  0.227  0.227  0.773
Be  0.227  0.773  0.227
Be  0.227  0.773  0.773
Be  0.773  0.227  0.227
Be  0.773  0.227  0.773
Be  0.773  0.773  0.227
Cu  0.119  0.119  0.119
Cu  0.119  0.119  0.642
Cu  0.119  0.642  0.119
Cu  0.157  0.500  0.500
Cu  0.157  0.500  0.843
Cu  0.157  0.843  0.500
Cu  0.358  0.881  0.881
Cu  0.500  0.157  0.500
Cu  0.500  0.157  0.843
Cu  0.500  0.500  0.157
Cu  0.500  0.500  0.843
Cu  0.500  0.843  0.157
Cu  0.500  0.843  0.500
Cu  0.642  0.119  0.119
Cu  0.843  0.157  0.500
Cu  0.843  0.500  0.157
Cu  0.843  0.500  0.500
Cu  0.881  0.358  0.881
Cu  0.881  0.881  0.358
Cu  0.881  0.881  0.881